FeSeCl2 after structural relaxation, computed with GGA-PBE.

Cell lengths 9.6962, 9.6962, 9.6962 Å; angles 19.12, 19.12, 19.12 degrees
Fractional positions:
Cl  0.9619  0.9619  0.9619
Cl  0.5381  0.5381  0.5381
Se  0.7500  0.7500  0.7500
Fe  0.2500  0.2500  0.2500

formation energy without anion corrections: -5 kJ/mol of formula units
excess energy over the best structure of this formula in the dataset: 0.370 eV per atom
SG: R-3m, No. 166

***

Li3Pm2CdGe4 after structural relaxation, computed with GGA-PBE.

Cell lengths 4.1710, 4.1710, 11.1417 Å; angles 90.00, 90.00, 90.00 degrees
Fractional positions:
Ge  0.5000  0.5000  0.0000
Ge  0.5000  0.0000  0.6563
Ge  0.0000  0.5000  0.3437
Ge  0.0000  0.0000  0.0000
Li  0.5000  0.0000  0.8721
Li  0.0000  0.5000  0.1279
Li  0.0000  0.0000  0.5000
Cd  0.5000  0.5000  0.5000
Pm  0.0000  0.5000  0.7642
Pm  0.5000  0.0000  0.2358

SG: P-4m2, No. 115
ΔE_f: -533 meV per atom

***

PrSm2Be after structural relaxation, computed with GGA-PBE.

Cell lengths 3.5615, 3.5615, 8.8092 Å; angles 90.00, 90.00, 90.00 degrees
Fractional positions:
Sm  0.0000  0.0000  0.1892
Sm  0.0000  0.0000  0.8108
Be  0.5000  0.5000  0.0000
Pr  0.5000  0.5000  0.5000

excess energy over the best structure of this formula in the dataset: 0.000 eV per atom
SG: P4/mmm, No. 123
ΔE_f: 97 meV per atom

***

Tl3Pt2I9 after structural relaxation, computed with GGA-PBE.

Cell lengths 11.4582, 11.4582, 11.4582 Å; angles 66.84, 66.84, 66.84 degrees
Fractional positions:
I  0.5632  0.3581  0.2011
I  0.0632  0.7011  0.8581
I  0.2011  0.5632  0.3581
I  0.0805  0.2500  0.4195
I  0.4195  0.0805  0.2500
I  0.3581  0.2011  0.5632
I  0.8581  0.0632  0.7011
I  0.2989  0.1419  0.9368
I  0.5805  0.9195  0.7500
I  0.9368  0.2989  0.1419
I  0.6419  0.7989  0.4368
I  0.9195  0.7500  0.5805
I  0.7500  0.5805  0.9195
I  0.1419  0.9368  0.2989
I  0.7989  0.4368  0.6419
I  0.2500  0.4195  0.0805
I  0.4368  0.6419  0.7989
I  0.7011  0.8581  0.0632
Pt  0.1834  0.1834  0.1834
Pt  0.8166  0.8166  0.8166
Pt  0.3166  0.3166  0.3166
Pt  0.6834  0.6834  0.6834
Tl  0.5880  0.2500  0.9120
Tl  0.9120  0.5880  0.2500
Tl  0.7500  0.0880  0.4120
Tl  0.0880  0.4120  0.7500
Tl  0.2500  0.9120  0.5880
Tl  0.4120  0.7500  0.0880

formation energy without anion corrections: -388 kJ/mol of formula units
SG: R-3c, No. 167

***

BaBeAg after structural relaxation, computed with GGA-PBE.

Cell lengths 4.4085, 4.4085, 4.8294 Å; angles 90.00, 90.00, 120.00 degrees
Fractional positions:
Be  0.6667  0.3333  0.0000
Ba  0.0000  0.0000  0.5000
Ag  0.3333  0.6667  0.0000

excess energy over the best structure of this formula in the dataset: 0.096 eV per atom
SG: P-6m2, No. 187
ΔE_f: 167 meV per atom

***

DyEr4Sc4 after structural relaxation, computed with GGA-PBE.

Cell lengths 4.7998, 7.6092, 7.6092 Å; angles 84.29, 71.62, 71.62 degrees
Fractional positions:
Sc  0.6668  0.0000  0.6664
Sc  0.3332  0.0000  0.3336
Sc  0.3332  0.3336  0.0000
Sc  0.6668  0.6664  0.0000
Er  0.6706  0.3294  0.3294
Er  0.0000  0.6706  0.3294
Er  0.3294  0.6706  0.6706
Er  0.0000  0.3294  0.6706
Dy  0.0000  0.0000  0.0000

SG: I4/mmm, No. 139
ΔE_f: 52 meV per atom

***

NaSn2SbCl8 after structural relaxation, computed with GGA-PBE.

Cell lengths 6.7641, 6.5613, 8.3698 Å; angles 90.02, 90.03, 88.62 degrees
Fractional positions:
Cl  0.1662  0.7809  0.2383
Cl  0.8338  0.2191  0.7617
Cl  0.6656  0.7118  0.5008
Cl  0.8326  0.2181  0.2383
Cl  0.3076  0.2482  0.0010
Cl  0.1674  0.7819  0.7617
Cl  0.6924  0.7518  0.9990
Cl  0.3344  0.2882  0.4992
Sb  0.0000  0.0000  0.0000
Sn  0.5003  0.5002  0.7460
Sn  0.4997  0.4998  0.2540
Na  0.0000  0.0000  0.5000

formation energy without anion corrections: -1249 kJ/mol of formula units
SG: P-1, No. 2

***

Li2AlWAu after structural relaxation, computed with GGA-PBE.

Cell lengths 4.4406, 4.6206, 4.4406 Å; angles 90.00, 90.00, 90.00 degrees
Fractional positions:
Li  0.0000  0.0000  0.5000
Li  0.5000  0.0000  0.0000
W  0.5000  0.5000  0.5000
Au  0.0000  0.5000  0.0000
Al  0.0000  0.0000  0.0000

SG: P4/mmm, No. 123
ΔE_f: 1117 meV per atom

***

no.,energy (eV/atom)
1,-3.924
2,-3.995
3,-4.389
4,-2.654
5,-2.666
6,-5.301
7,-3.431
8,-3.643